--- a ---
ThBIr PBE optimized geometry; volume = 54 Å³ per cell; theoretical density = 13.4 g/cm³
1.0
-0.972 2.392 3.460
2.814 -1.649 1.931
0.664 3.154 -1.994
B Ir Th
1 1 1
Direct
0.167 0.667 0.333
0.167 0.000 0.000
0.667 0.333 0.667

--- b ---
ThBIr PBE optimized geometry; volume = 108 Å³ per cell; theoretical density = 13.4 g/cm³
1.0
-1.449 1.219 3.161
2.983 -2.163 0.052
5.362 7.310 -2.523
Th B Ir
2 2 2
Direct
0.022 0.011 0.032
0.351 0.175 0.527
0.554 0.278 0.833
0.516 0.757 0.273
0.856 0.428 0.284
0.181 0.591 0.771

Least stable of them? b.